# 1
This record from the Alexandria database describes a relaxed La3Ir crystal. The functional is PBE-GGA.

The structure in POSCAR format:
```
La3Ir
1.0
4.7552 0.0159 0.0000
-0.8752 4.6740 0.0000
0.0000 0.0000 4.9038
Ir La
1 3
direct
0.0000 0.0000 0.0000
0.5000 0.0000 0.5000
0.0000 0.5000 0.5000
0.5000 0.5000 0.0000
```

Energy of formation ... -0.37 eV per formula unit
Electronic total energy ... -24.01 eV for the cell shown
Density of states at the Fermi level ... 5.83 states/eV per cell
Total magnetization ... 0.00 μB/f.u.


# 2
This record from the Alexandria database describes a relaxed LiTaOs2 crystal. The functional is PBE-GGA.

The structure in POSCAR format:
```
LiTaOs2
1.0
4.9901 0.0351 0.5874
4.0132 2.9659 0.5874
1.5668 0.5222 4.2353
Li Os Ta
1 2 1
direct
0.2500 0.2500 0.2500
0.0028 0.0028 0.9972
0.4972 0.4972 0.5028
0.7500 0.7500 0.7500
```

Energy of formation ... 0.33 eV per formula unit
Electronic total energy ... -35.89 eV for the cell shown
Density of states at the Fermi level ... 2.42 states/eV per cell
Total magnetization ... 0.00 μB/f.u.


# 3
This record from the Alexandria database describes a relaxed SrPmZn3 crystal. The functional is PBE-GGA.

The structure in POSCAR format:
```
SrPmZn3
1.0
-3.1523 -1.2915 -2.0516
2.4732 0.1006 -3.8635
5.5120 -12.4225 3.2051
Pm Zn Sr
2 6 2
direct
0.2082 0.7500 0.4164
0.7918 0.2500 0.5836
0.6219 0.7500 0.2437
0.5246 0.7500 0.0491
0.6756 0.2500 0.3513
0.4754 0.2500 0.9509
0.3781 0.2500 0.7563
0.3244 0.7500 0.6487
0.0735 0.2500 0.1469
0.9265 0.7500 0.8531
```

Energy of formation ... -1.21 eV per formula unit
Electronic total energy ... -22.93 eV for the cell shown
Density of states at the Fermi level ... 9.63 states/eV per cell
Total magnetization ... 0.00 μB/f.u.


# 4
This record from the Alexandria database describes a relaxed Y3ScCu2 crystal. The functional is PBE-GGA.

The structure in POSCAR format:
```
Y3ScCu2
1.0
3.5904 0.0000 0.0000
0.0000 8.5680 0.0000
0.0000 0.0000 9.5113
Cu Y Sc
4 6 2
direct
0.5000 0.7788 0.9336
0.0000 0.7175 0.4404
0.0000 0.2175 0.5596
0.5000 0.2788 0.0664
0.0000 0.9962 0.0805
0.0000 0.3325 0.2879
0.5000 0.6712 0.2229
0.5000 0.1712 0.7771
0.0000 0.8325 0.7121
0.0000 0.4962 0.9195
0.5000 0.0038 0.4303
0.5000 0.5038 0.5697
```

Energy of formation ... -0.60 eV per formula unit
Electronic total energy ... -69.03 eV for the cell shown
Density of states at the Fermi level ... 14.29 states/eV per cell
Total magnetization ... 0.00 μB/f.u.


# 5
This record from the Alexandria database describes a relaxed LiPaPb2 crystal. The functional is PBE-GGA.

The structure in POSCAR format:
```
LiPaPb2
1.0
-0.4329 3.0491 1.1764
0.5553 -1.1008 3.0575
9.0820 1.6910 -1.0408
Pa Pb Li
1 2 1
direct
0.5000 0.5000 0.5000
0.0000 0.0000 0.7696
0.0000 0.0000 0.2304
0.5000 0.5000 0.0000
```

Energy of formation ... -0.24 eV per formula unit
Distance to the lowest polymorph of the same formula ... 0.031 eV/atom
Electronic total energy ... -19.07 eV for the cell shown
Density of states at the Fermi level ... 5.15 states/eV per cell
Total magnetization ... 0.74 μB/f.u.


# 6
This record from the Alexandria database describes a relaxed MnBe2W crystal. The functional is PBE-GGA.

The structure in POSCAR format:
```
MnBe2W
1.0
-2.6311 -0.3818 0.4265
0.0403 -2.1250 -1.6532
1.3018 -3.6683 4.7469
Mn W Be
1 1 2
direct
0.5000 0.5000 0.2500
0.5000 0.5000 0.7500
0.0000 0.0000 0.0270
0.0000 0.0000 0.4730
```

Energy of formation ... 0.27 eV per formula unit
Distance to the lowest polymorph of the same formula ... 0.110 eV/atom
Electronic total energy ... -29.30 eV for the cell shown
Density of states at the Fermi level ... 2.24 states/eV per cell
Total magnetization ... 2.54 μB/f.u.


# 7
This record from the Alexandria database describes a relaxed CeTm2PuAs4 crystal. The functional is PBE-GGA.

The structure in POSCAR format:
```
CeTm2PuAs4
1.0
4.1274 0.0000 0.0000
0.0000 7.1295 -0.1323
0.0000 2.5169 6.6812
Tm As Ce Pu
2 4 1 1
direct
0.5000 0.0000 0.5000
0.0000 0.0000 0.0000
0.0000 0.2435 0.2531
0.5000 0.2454 0.7497
0.5000 0.7546 0.2503
0.0000 0.7565 0.7469
0.5000 0.5000 0.0000
0.0000 0.5000 0.5000
```

Energy of formation ... -10.91 eV per formula unit
Electronic total energy ... -58.71 eV for the cell shown
Density of states at the Fermi level ... 15.03 states/eV per cell
Total magnetization ... 5.79 μB/f.u.


# 8
This record from the Alexandria database describes a relaxed Si3RhC crystal. The functional is PBE-GGA.

The structure in POSCAR format:
```
Si3RhC
1.0
-1.0285 -3.1303 -2.1881
3.5847 -1.5731 0.5656
-1.3179 -1.8360 3.2460
Si Rh C
3 1 1
direct
0.0000 0.0000 0.5000
0.5000 0.0000 0.0000
0.0000 0.5000 0.0000
0.5000 0.5000 0.5000
0.0000 0.0000 0.0000
```

Distance to the lowest polymorph of the same formula ... 0.000 eV/atom
Electronic total energy ... -29.86 eV for the cell shown
Density of states at the Fermi level ... 2.69 states/eV per cell
Total magnetization ... 0.00 μB/f.u.
Formation energy (no corrections) ... 57.5 kJ/mol of atoms


# 9
This record from the Alexandria database describes a relaxed MnAlAg2 crystal. The functional is PBE-GGA.

The structure in POSCAR format:
```
MnAlAg2
1.0
-1.5062 -3.7659 -2.2994
-0.0049 -1.4798 2.4269
-4.7377 1.1873 1.1589
Al Ag Mn
1 2 1
direct
0.5000 0.2500 0.2500
0.0000 0.0211 0.0012
0.0000 0.4789 0.4988
0.5000 0.7500 0.7500
```

Energy of formation ... 0.46 eV per formula unit
Electronic total energy ... -18.16 eV for the cell shown
Density of states at the Fermi level ... 2.16 states/eV per cell
Total magnetization ... 3.67 μB/f.u.


# 10
This record from the Alexandria database describes a relaxed PaCrRh crystal. The functional is PBE-GGA.

The structure in POSCAR format:
```
PaCrRh
1.0
4.3028 0.0000 0.0000
0.0000 4.7397 0.0000
0.0000 0.0000 5.3844
Pa Cr Rh
2 2 2
direct
0.5000 0.7791 0.2500
0.5000 0.2209 0.7500
0.0000 0.0000 0.0000
0.0000 0.0000 0.5000
0.0000 0.5391 0.7500
0.0000 0.4609 0.2500
```

Energy of formation ... -0.25 eV per formula unit
Electronic total energy ... -53.44 eV for the cell shown
Density of states at the Fermi level ... 7.97 states/eV per cell
Total magnetization ... 0.00 μB/f.u.


# 11
This record from the Alexandria database describes a relaxed LiFe2Se crystal. The functional is PBE-GGA.

The structure in POSCAR format:
```
LiFe2Se
1.0
-1.6560 -2.0277 0.8817
2.3183 -1.0187 -1.1041
3.6819 0.2533 7.4975
Se Fe Li
1 2 1
direct
0.5000 0.5000 0.7500
0.0000 0.0000 0.9902
0.0000 0.0000 0.5098
0.5000 0.5000 0.2500
```

Electronic total energy ... -20.45 eV for the cell shown
Density of states at the Fermi level ... 4.07 states/eV per cell
Total magnetization ... 5.36 μB/f.u.
Formation energy (no corrections) ... 45.2 kJ/mol of atoms


# 12
This record from the Alexandria database describes a relaxed TaIn2Tc crystal. The functional is PBE-GGA.

The structure in POSCAR format:
```
TaIn2Tc
1.0
3.3471 0.0000 0.0000
0.0000 4.7527 0.0000
0.0000 0.0000 4.7031
In Tc Ta
2 1 1
direct
0.0000 0.0000 0.0000
0.5000 0.5000 0.0000
0.0000 0.5000 0.5000
0.5000 0.0000 0.5000
```

Energy of formation ... 1.22 eV per formula unit
Distance to the lowest polymorph of the same formula ... 0.226 eV/atom
Electronic total energy ... -26.48 eV for the cell shown
Density of states at the Fermi level ... 1.91 states/eV per cell
Total magnetization ... 0.00 μB/f.u.